VASP calculation (PBE with a Hubbard U) on a geometry-optimized U2MnTl3O9 structure.

a b c (Å): 6.015 6.015 7.383
angles (deg): 90.00 90.00 120.00
Site moments in Bohr magnetons follow the coordinates.
Element x y z (fractional)
1 U 0.333 0.667 0.177  0.08
2 U 0.667 0.333 0.823  0.08
3 Mn 0.000 0.000 0.500  4.34
4 Tl 0.333 0.667 0.656  -0.01
5 Tl 0.000 0.000 0.000  -0.01
6 Tl 0.667 0.333 0.344  -0.01
7 O 0.830 0.170 0.670  -0.05
8 O 0.830 0.661 0.670  -0.05
9 O 0.339 0.170 0.670  -0.05
10 O 0.661 0.830 0.330  -0.05
11 O 0.170 0.339 0.330  -0.05
12 O 0.170 0.830 0.330  -0.05
13 O 0.500 0.000 0.000  -0.01
14 O 0.000 0.500 0.000  -0.01
15 O 0.500 0.500 0.000  -0.01

- Space group: P-3m1 (164)
- Final energy: -7.537 eV per atom